[1]
Al2Ir: optimized geometry, PBE.

Properties
Energy of formation from the pure elements ... -0.57 eV/atom

Unit cell a=11.498 b=11.498 c=11.498 alpha=165.55 beta=165.55 gamma=20.49
Positions (direct):
Al 0.304 0.554 0.750
Al 0.446 0.696 0.750
Al 0.554 0.304 0.250
Al 0.696 0.446 0.250
Ir 0.125 0.875 0.250
Ir 0.875 0.125 0.750


[2]
AlIr: optimized geometry, PBE.

Properties
Energy of formation from the pure elements ... -0.45 eV/atom

Unit cell a=4.818 b=4.818 c=4.818 alpha=52.66 beta=52.66 gamma=52.66
Positions (direct):
Al 0.110 0.110 0.110
Al 0.890 0.890 0.890
Ir 0.309 0.309 0.309
Ir 0.691 0.691 0.691


[3]
Al3Ir2: optimized geometry, PBE.

Properties
Energy of formation from the pure elements ... -0.54 eV/atom

Unit cell a=10.294 b=10.294 c=10.294 alpha=16.22 beta=16.22 gamma=16.22
Positions (direct):
Al 0.000 0.000 0.000
Al 0.204 0.204 0.204
Al 0.796 0.796 0.796
Ir 0.399 0.399 0.399
Ir 0.601 0.601 0.601